one | ! PBE PdSeBr2F, relaxed; values from VASP
&SYSTEM
  ibrav = 0, nat = 5, ntyp = 4
/
ATOMIC_SPECIES
Se 78.96 Se.upf
F 19.00 F.upf
Br 79.90 Br.upf
Pd 106.42 Pd.upf
CELL_PARAMETERS angstrom
5.598 0.000 0.000
0.000 5.598 0.000
0.000 0.000 3.856
ATOMIC_POSITIONS crystal
Se 0.000 0.000 0.500
F 0.000 0.000 0.000
Br 0.000 0.500 0.000
Br 0.500 0.000 0.000
Pd 0.500 0.500 0.500
! D(E_F) in states/eV per cell: 6.36

two | ! PBE PdSeBr2F, relaxed; values from VASP
&SYSTEM
  ibrav = 0, nat = 5, ntyp = 4
/
ATOMIC_SPECIES
Br 79.90 Br.upf
Se 78.96 Se.upf
Pd 106.42 Pd.upf
F 19.00 F.upf
CELL_PARAMETERS angstrom
-0.175 -0.637 5.125
0.945 -5.045 -0.595
4.705 0.850 0.266
ATOMIC_POSITIONS crystal
Br 0.000 0.500 0.000
Br 0.500 0.000 0.000
Se 0.000 0.000 0.500
Pd 0.000 0.000 0.000
F 0.500 0.500 0.500
! D(E_F) in states/eV per cell: 8.71

Most stable structure - two; separation to the second - 0.234 eV/atom.

one | ! PBE TlPdBrF2, relaxed; values from VASP
&SYSTEM
  ibrav = 0, nat = 5, ntyp = 4
/
ATOMIC_SPECIES
Br 79.90 Br.upf
F 19.00 F.upf
Pd 106.42 Pd.upf
Tl 204.38 Tl.upf
CELL_PARAMETERS angstrom
4.461 0.000 0.000
0.000 4.461 0.000
0.000 0.000 5.152
ATOMIC_POSITIONS crystal
Br 0.000 0.000 0.500
F 0.000 0.500 0.000
F 0.500 0.000 0.000
Pd 0.000 0.000 0.000
Tl 0.500 0.500 0.500
! D(E_F) in states/eV per cell: 2.08

two | ! PBE TlPdBrF2, relaxed; values from VASP
&SYSTEM
  ibrav = 0, nat = 5, ntyp = 4
/
ATOMIC_SPECIES
Br 79.90 Br.upf
F 19.00 F.upf
Tl 204.38 Tl.upf
Pd 106.42 Pd.upf
CELL_PARAMETERS angstrom
-1.414 -4.462 -0.476
2.139 -0.220 -4.289
3.967 -1.476 2.054
ATOMIC_POSITIONS crystal
Br 0.000 0.000 0.000
F 0.500 0.000 0.000
F 0.000 0.000 0.500
Tl 0.500 0.500 0.500
Pd 0.000 0.500 0.000
! D(E_F) in states/eV per cell: 1.77

Most stable structure - one; separation to the second - 0.525 eV/atom.